Entry 1:
UPaMnOs | PBE | optimized geometry

abc: 6.5803 6.5803 6.5803
angles: 90.00 90.00 90.00
With the nearest neighbours (Å) after each atom.
Space group F-43m (No. 216)
Unique sites:
U (0.0000, 0.0000, 0.0000) [4 per cell]  4 Mn 2.85, 4 Pa 2.85
Pa (0.2500, 0.2500, 0.2500) [4 per cell]  4 Os 2.85, 4 U 2.85
Mn (0.2500, 0.2500, 0.7500) [4 per cell]  4 Os 2.85, 4 U 2.85
Os (0.0000, 0.0000, 0.5000) [4 per cell]  4 Mn 2.85, 4 Pa 2.85

The energy of formation is -57 meV/atom. Its final energy is -10.3524 eV per atom.



Entry 2:
PaMnZnOs | PBE | optimized geometry

abc: 6.4781 6.4781 6.4781
angles: 90.00 90.00 90.00
With the nearest neighbours (Å) after each atom.
Space group F-43m (No. 216)
Unique sites:
Pa (0.0000, 0.0000, 0.0000) [4 per cell]  4 Mn 2.81, 4 Os 2.81
Mn (0.2500, 0.2500, 0.2500) [4 per cell]  4 Pa 2.81, 4 Zn 2.81
Zn (0.0000, 0.0000, 0.5000) [4 per cell]  4 Mn 2.81, 4 Os 2.81
Os (0.2500, 0.2500, 0.7500) [4 per cell]  4 Pa 2.81, 4 Zn 2.81

The energy of formation is 4 meV/atom. Its final energy is -7.7887 eV per atom.



Question: Which value of final energy does entry 1 give?
Answer: -10.3524 eV per atom



Question: What is the final energy in the second record?
Answer: -7.7887 eV per atom